(1)
An optimized crystal structure of Ta2Co. Source: the Open Quantum Materials Database, functional PBE.

Structure (POSCAR):
```
Ta2Co
1.0
5.308 0.000 0.000
-2.654 4.597 0.000
0.000 0.000 8.489
Ta Co
8 4
Cartesian
0.000 0.000 0.000
0.000 0.000 4.244
0.000 1.562 2.122
-1.301 3.816 2.122
1.353 0.781 6.367
1.301 3.816 2.122
3.955 0.781 6.367
2.654 3.034 6.367
0.000 3.064 4.739
0.000 3.064 7.994
2.654 1.532 0.494
2.654 1.532 3.750
```

Summary:
Energy of formation from the pure elements (meV per atom): 819
Energy (eV/atom): -9.452
Crystal system: hexagonal

(2)
An optimized crystal structure of AgAsSeO. Source: the Open Quantum Materials Database, functional PBE.

Structure (POSCAR):
```
AgAsSeO
1.0
3.593 0.000 0.000
0.000 6.649 0.000
0.000 0.000 6.686
Ag As Se O
2 2 2 2
Cartesian
0.000 1.634 0.000
0.000 5.015 3.343
1.797 1.920 2.575
1.797 4.729 5.918
0.000 0.857 4.032
0.000 5.792 0.689
1.797 3.137 6.588
1.797 3.512 3.245
```

Summary:
Energy (eV/atom): -4.364
Crystal system: orthorhombic
Relative energy among the computed polymorphs (eV per atom): 0.120

- The highest energy belongs to which entry?
  AgAsSeO

- The highest energy belongs to which entry?
  AgAsSeO